# 1
CoSnPd3 | PBE | optimized geometry

## Properties
E above lowest polymorph, meV/atom: 0
Calculated formation energy, eV per atom: 0.50
Space group: Pm-3m

a b c (Å): 4.6071 4.6071 4.6071
angles (deg): 90.00 90.00 90.00
Fractional coordinates of all 5 atoms:
1 Co 0.0000 0.0000 0.0000
2 Sn 0.5000 0.5000 0.5000
3 Pd 0.0000 0.0000 0.5000
4 Pd 0.0000 0.5000 0.0000
5 Pd 0.5000 0.0000 0.0000

# 2
ThSi2IrRh5 | PBE | optimized geometry

## Properties
Uncorrected formation energy, eV per formula unit: -3.4
Space group: P4/mmm

a b c (Å): 3.9392 3.9392 10.7060
angles (deg): 90.00 90.00 90.00
Fractional coordinates of all 9 atoms:
1 Th 0.0000 0.0000 0.0000
2 Si 0.5000 0.5000 0.2206
3 Si 0.5000 0.5000 0.7794
4 Ir 0.0000 0.0000 0.5000
5 Rh 0.0000 0.5000 0.3425
6 Rh 0.0000 0.5000 0.6575
7 Rh 0.5000 0.0000 0.3425
8 Rh 0.5000 0.0000 0.6575
9 Rh 0.5000 0.5000 0.0000

# 3
Be2GeAuI | PBE | optimized geometry

## Properties
Uncorrected formation energy, eV per formula unit: 2.8
Space group: P4/mmm

a b c (Å): 4.3680 4.3680 5.4178
angles (deg): 90.00 90.00 90.00
Fractional coordinates of all 5 atoms:
1 Be 0.0000 0.5000 0.0000
2 Be 0.5000 0.0000 0.0000
3 Ge 0.0000 0.0000 0.0000
4 Au 0.0000 0.0000 0.5000
5 I 0.5000 0.5000 0.5000

# 4
ZrMo2RuBr | PBE | optimized geometry

## Properties
Uncorrected formation energy, eV per formula unit: 6.1
Space group: P4/mmm

a b c (Å): 4.7404 4.7404 5.1557
angles (deg): 90.00 90.00 90.00
Fractional coordinates of all 5 atoms:
1 Zr 0.0000 0.0000 0.0000
2 Mo 0.0000 0.5000 0.5000
3 Mo 0.5000 0.0000 0.5000
4 Ru 0.0000 0.0000 0.5000
5 Br 0.5000 0.5000 0.0000

# 5
Ag4BrF3 | PBE | optimized geometry

## Properties
Uncorrected formation energy, eV per formula unit: -6.3
Space group: C2

a b c (Å): 6.2519 6.2519 3.8956
angles (deg): 90.09 90.09 69.36
Fractional coordinates of all 8 atoms:
1 Ag 0.0000 0.0000 0.0000
2 Ag 0.0147 0.4590 0.4990
3 Ag 0.5410 0.9853 0.5010
4 Ag 0.5564 0.4436 0.0000
5 Br 0.2782 0.7218 0.5000
6 F 0.2781 0.2219 0.0012
7 F 0.7782 0.2218 0.5000
8 F 0.7781 0.7219 0.9988

# 6
YOsCl2 | PBE | optimized geometry

## Properties
Uncorrected formation energy, eV per formula unit: 1.0
E above lowest polymorph, meV/atom: 821
Space group: F-43m

a b c (Å): 4.9536 4.9536 4.9536
angles (deg): 60.00 60.00 60.00
Fractional coordinates of all 4 atoms:
1 Y 0.0000 0.0000 0.0000
2 Os 0.2500 0.2500 0.2500
3 Cl 0.5000 0.5000 0.5000
4 Cl 0.7500 0.7500 0.7500